No. 1
{"formula": "ScOs2O2", "functional": "PBE", "state": "relaxed", "total_magnetization_mub_per_fu": 0.00, "e_form_raw_ev_per_fu": -1.0, "e_tot_ev_per_atom": -7.9412, "de_polymorph_ev_per_atom": 0.000, "cell": [[-1.8444, 1.8444, 4.8999], [1.8444, -1.8444, 4.8999], [1.8444, 1.8444, -4.8999]], "species": ["Sc", "Os", "Os", "O", "O"], "frac_coords": [[0.0000, 0.0000, 0.0000], [0.3827, 0.3827, 0.0000], [0.6173, 0.6173, 0.0000], [0.2500, 0.7500, 0.5000], [0.7500, 0.2500, 0.5000]]}

No. 2
{"formula": "ScOs3O", "functional": "PBE", "state": "relaxed", "total_magnetization_mub_per_fu": 5.56, "e_form_raw_ev_per_fu": 15.1, "e_tot_ev_per_atom": -5.9672, "de_polymorph_ev_per_atom": 2.691, "cell": [[4.6988, 0.0000, 0.0000], [0.0000, 4.6988, 0.0000], [0.0000, 0.0000, 4.6988]], "species": ["Sc", "Os", "Os", "Os", "O"], "frac_coords": [[0.0000, 0.0000, 0.0000], [0.0000, 0.0000, 0.5000], [0.0000, 0.5000, 0.0000], [0.5000, 0.0000, 0.0000], [0.5000, 0.5000, 0.5000]]}

No. 3
{"formula": "Sc3OsO", "functional": "PBE", "state": "relaxed", "total_magnetization_mub_per_fu": 0.00, "e_form_raw_ev_per_fu": -6.5, "e_tot_ev_per_atom": -8.3445, "cell": [[4.3137, 0.0000, 0.0000], [0.0000, 4.3137, 0.0000], [0.0000, 0.0000, 4.3137]], "species": ["Sc", "Sc", "Sc", "Os", "O"], "frac_coords": [[0.0000, 0.0000, 0.5000], [0.0000, 0.5000, 0.0000], [0.5000, 0.0000, 0.0000], [0.5000, 0.5000, 0.5000], [0.0000, 0.0000, 0.0000]]}

No. 4
{"formula": "ScOs2O", "functional": "PBE", "state": "relaxed", "total_magnetization_mub_per_fu": 0.00, "e_form_raw_ev_per_fu": 1.1, "e_tot_ev_per_atom": -8.1584, "cell": [[-2.3690, 2.3690, 6.5597], [2.3690, -2.3690, 6.5597], [2.3690, 2.3690, -6.5597]], "species": ["Sc", "Sc", "Os", "Os", "Os", "Os", "O", "O"], "frac_coords": [[0.0000, 0.0000, 0.0000], [0.7500, 0.2500, 0.5000], [0.3363, 0.6250, 0.2113], [0.3750, 0.5863, 0.7113], [0.4137, 0.1250, 0.7887], [0.8750, 0.6637, 0.2887], [0.2500, 0.7500, 0.5000], [0.5000, 0.5000, 0.0000]]}

No. 5
{"formula": "ScOsO2", "functional": "PBE", "state": "relaxed", "total_magnetization_mub_per_fu": 1.11, "e_form_raw_ev_per_fu": -7.2, "e_tot_ev_per_atom": -8.6576, "de_polymorph_ev_per_atom": 0.000, "cell": [[1.5017, 0.8670, 6.2921], [-1.5017, 0.8670, 6.2921], [0.0000, -1.7340, 6.2921]], "species": ["Sc", "Os", "O", "O"], "frac_coords": [[0.0000, 0.0000, 0.0000], [0.5000, 0.5000, 0.5000], [0.3927, 0.3927, 0.3927], [0.6073, 0.6073, 0.6073]]}

No. 6
{"formula": "ScOs2O2", "functional": "PBE", "state": "relaxed", "total_magnetization_mub_per_fu": 0.00, "e_form_raw_ev_per_fu": 0.7, "e_tot_ev_per_atom": -7.6002, "de_polymorph_ev_per_atom": 0.341, "cell": [[7.3684, 0.0000, 0.0000], [0.0000, 7.3684, 0.0000], [0.0000, 0.0000, 2.7000]], "species": ["Sc", "Sc", "Os", "Os", "Os", "Os", "O", "O", "O", "O"], "frac_coords": [[0.0000, 0.0000, 0.0000], [0.5000, 0.5000, 0.0000], [0.1162, 0.3838, 0.0000], [0.3838, 0.8838, 0.0000], [0.6162, 0.1162, 0.0000], [0.8838, 0.6162, 0.0000], [0.2419, 0.7419, 0.5000], [0.2581, 0.2419, 0.5000], [0.7419, 0.7581, 0.5000], [0.7581, 0.2581, 0.5000]]}

No. 7
{"formula": "ScOsO3", "functional": "PBE", "state": "relaxed", "total_magnetization_mub_per_fu": 0.57, "e_form_raw_ev_per_fu": -5.7, "e_tot_ev_per_atom": -7.6286, "cell": [[3.8865, 0.0000, 0.0000], [0.0000, 3.8865, 0.0000], [0.0000, 0.0000, 3.8865]], "species": ["Sc", "Os", "O", "O", "O"], "frac_coords": [[0.0000, 0.0000, 0.0000], [0.5000, 0.5000, 0.5000], [0.0000, 0.5000, 0.5000], [0.5000, 0.0000, 0.5000], [0.5000, 0.5000, 0.0000]]}

No. 8
{"formula": "Sc4OsO", "functional": "PBE", "state": "relaxed", "total_magnetization_mub_per_fu": 0.00, "e_form_raw_ev_per_fu": -6.9, "e_tot_ev_per_atom": -8.0625, "cell": [[2.2554, -7.6807, 0.0000], [2.2554, 7.6807, 0.0000], [0.0000, 0.0000, 6.0275]], "species": ["Sc", "Sc", "Sc", "Sc", "Sc", "Sc", "Sc", "Sc", "Os", "Os", "O", "O"], "frac_coords": [[0.0275, 0.9725, 0.5000], [0.1693, 0.8307, 0.8754], [0.2128, 0.7872, 0.3846], [0.4142, 0.5858, 0.6776], [0.5858, 0.4142, 0.1776], [0.7872, 0.2128, 0.8846], [0.8307, 0.1693, 0.3754], [0.9725, 0.0275, 0.0000], [0.3840, 0.6160, 0.1656], [0.6160, 0.3840, 0.6656], [0.0945, 0.9055, 0.1790], [0.9055, 0.0945, 0.6790]]}

No. 9
{"formula": "Sc3OsO", "functional": "PBE", "state": "relaxed", "total_magnetization_mub_per_fu": 0.00, "e_form_raw_ev_per_fu": 1.0, "e_tot_ev_per_atom": -6.8432, "cell": [[4.9864, 0.0000, 0.0000], [0.0000, 4.9864, 0.0000], [0.0000, 0.0000, 4.9864]], "species": ["Sc", "Sc", "Sc", "Os", "O"], "frac_coords": [[0.0000, 0.0000, 0.5000], [0.0000, 0.5000, 0.0000], [0.5000, 0.0000, 0.0000], [0.0000, 0.0000, 0.0000], [0.5000, 0.5000, 0.5000]]}

No. 10
{"formula": "ScOsO4", "functional": "PBE", "state": "relaxed", "total_magnetization_mub_per_fu": 1.23, "e_form_raw_ev_per_fu": -11.9, "e_tot_ev_per_atom": -8.2221, "cell": [[5.7120, 0.0000, 0.0000], [0.0000, 4.7389, 0.0000], [-2.1749, 0.0000, 5.1868]], "species": ["Sc", "Sc", "Os", "Os", "O", "O", "O", "O", "O", "O", "O", "O"], "frac_coords": [[0.0000, 0.0000, 0.0000], [0.0000, 0.5000, 0.5000], [0.5000, 0.0000, 0.5000], [0.5000, 0.5000, 0.0000], [0.1684, 0.1836, 0.3660], [0.1684, 0.3164, 0.8660], [0.3661, 0.7123, 0.6680], [0.3661, 0.7877, 0.1680], [0.6339, 0.2123, 0.8320], [0.6339, 0.2877, 0.3320], [0.8316, 0.6836, 0.1340], [0.8316, 0.8164, 0.6340]]}

No. 11
{"formula": "Sc2Os2O", "functional": "PBE", "state": "relaxed", "total_magnetization_mub_per_fu": 0.00, "e_form_raw_ev_per_fu": -1.5, "e_tot_ev_per_atom": -8.3256, "cell": [[-1.7362, 1.7362, 7.3509], [1.7362, -1.7362, 7.3509], [1.7362, 1.7362, -7.3509]], "species": ["Sc", "Sc", "Os", "Os", "O"], "frac_coords": [[0.0983, 0.0983, 0.0000], [0.9017, 0.9017, 0.0000], [0.2500, 0.7500, 0.5000], [0.7500, 0.2500, 0.5000], [0.5000, 0.5000, 0.0000]]}

No. 12
{"formula": "ScOsO2", "functional": "PBE", "state": "relaxed", "total_magnetization_mub_per_fu": 0.00, "e_form_raw_ev_per_fu": -5.0, "e_tot_ev_per_atom": -8.1073, "de_polymorph_ev_per_atom": 0.550, "cell": [[-2.0507, 2.0507, 6.0573], [2.0507, -2.0507, 6.0573], [2.0507, 2.0507, -6.0573]], "species": ["Sc", "Sc", "Os", "Os", "O", "O", "O", "O"], "frac_coords": [[0.0000, 0.0000, 0.0000], [0.7500, 0.2500, 0.5000], [0.2500, 0.7500, 0.5000], [0.5000, 0.5000, 0.0000], [0.1458, 0.6250, 0.0208], [0.3750, 0.3958, 0.5208], [0.6042, 0.1250, 0.9792], [0.8750, 0.8542, 0.4792]]}

No. 13
{"formula": "ScOsO3", "functional": "PBE", "state": "relaxed", "total_magnetization_mub_per_fu": 5.01, "e_form_raw_ev_per_fu": -3.0, "e_tot_ev_per_atom": -7.0942, "cell": [[3.9946, 0.0000, 0.0000], [0.0000, 3.9946, 0.0000], [0.0000, 0.0000, 3.9946]], "species": ["Sc", "Os", "O", "O", "O"], "frac_coords": [[0.0000, 0.0000, 0.0000], [0.5000, 0.5000, 0.5000], [0.0000, 0.0000, 0.5000], [0.0000, 0.5000, 0.0000], [0.5000, 0.0000, 0.0000]]}

No. 14
{"formula": "ScOsO2", "functional": "PBE", "state": "relaxed", "total_magnetization_mub_per_fu": 0.00, "e_form_raw_ev_per_fu": -2.8, "e_tot_ev_per_atom": -7.5769, "de_polymorph_ev_per_atom": 1.081, "cell": [[0.0000, 2.8013, 2.8013], [2.8013, 0.0000, 2.8013], [2.8013, 2.8013, 0.0000]], "species": ["Sc", "Os", "O", "O"], "frac_coords": [[0.0000, 0.0000, 0.0000], [0.5000, 0.5000, 0.5000], [0.2500, 0.2500, 0.2500], [0.7500, 0.7500, 0.7500]]}

No. 15
{"formula": "Sc3OsO7", "functional": "PBE", "state": "relaxed", "total_magnetization_mub_per_fu": 2.96, "e_form_raw_ev_per_fu": -29.0, "e_tot_ev_per_atom": -8.5352, "cell": [[3.6220, -5.0273, 0.0000], [3.6220, 5.0273, 0.0000], [0.0000, 0.0000, 7.0393]], "species": ["Sc", "Sc", "Sc", "Sc", "Sc", "Sc", "Os", "Os", "O", "O", "O", "O", "O", "O", "O", "O", "O", "O", "O", "O", "O", "O"], "frac_coords": [[0.0329, 0.5034, 0.2561], [0.0380, 0.0380, 0.0000], [0.4966, 0.9671, 0.2439], [0.5034, 0.0329, 0.7439], [0.9620, 0.9620, 0.5000], [0.9671, 0.4966, 0.7561], [0.4995, 0.4995, 0.5000], [0.5005, 0.5005, 0.0000], [0.1294, 0.8706, 0.7500], [0.1415, 0.8585, 0.2500], [0.1645, 0.4133, 0.9711], [0.1792, 0.4411, 0.5417], [0.4133, 0.1645, 0.0289], [0.4140, 0.5860, 0.2500], [0.4411, 0.1792, 0.4583], [0.5589, 0.8208, 0.9583], [0.5860, 0.4140, 0.7500], [0.5867, 0.8355, 0.5289], [0.8208, 0.5589, 0.0417], [0.8355, 0.5867, 0.4711], [0.8585, 0.1415, 0.7500], [0.8706, 0.1294, 0.2500]]}

No. 16
{"formula": "ScSnOsO6", "functional": "PBE", "state": "relaxed", "total_magnetization_mub_per_fu": 2.79, "e_form_raw_ev_per_fu": -16.2, "e_tot_ev_per_atom": -7.4977, "cell": [[5.2073, 0.0000, 0.0000], [-2.6037, 4.5097, 0.0000], [0.0000, 0.0000, 9.1001]], "species": ["Sc", "Sc", "Sn", "Sn", "Os", "Os", "O", "O", "O", "O", "O", "O", "O", "O", "O", "O", "O", "O"], "frac_coords": [[0.3333, 0.6667, 0.2500], [0.6667, 0.3333, 0.7500], [0.0000, 0.0000, 0.0000], [0.0000, 0.0000, 0.5000], [0.3333, 0.6667, 0.7500], [0.6667, 0.3333, 0.2500], [0.0174, 0.3485, 0.6290], [0.0174, 0.6689, 0.8710], [0.3311, 0.3485, 0.8710], [0.3311, 0.9826, 0.6290], [0.3485, 0.0174, 0.1290], [0.3485, 0.3311, 0.3710], [0.6515, 0.6689, 0.6290], [0.6515, 0.9826, 0.8710], [0.6689, 0.0174, 0.3710], [0.6689, 0.6515, 0.1290], [0.9826, 0.3311, 0.1290], [0.9826, 0.6515, 0.3710]]}

No. 17
{"formula": "Sr2ScOs3O12", "functional": "PBE", "state": "relaxed", "total_magnetization_mub_per_fu": 0.00, "e_form_raw_ev_per_fu": -30.6, "e_tot_ev_per_atom": -7.4141, "cell": [[3.6426, 2.1031, 6.0076], [-3.6426, 2.1031, 6.0076], [0.0000, -4.2061, 6.0076]], "species": ["Sr", "Sr", "Sc", "Os", "Os", "Os", "O", "O", "O", "O", "O", "O", "O", "O", "O", "O", "O", "O"], "frac_coords": [[0.1819, 0.1819, 0.1819], [0.8181, 0.8181, 0.8181], [0.5000, 0.5000, 0.5000], [0.0000, 0.5000, 0.5000], [0.5000, 0.0000, 0.5000], [0.5000, 0.5000, 0.0000], [0.1448, 0.5896, 0.5896], [0.1984, 0.1984, 0.5720], [0.1984, 0.5720, 0.1984], [0.4104, 0.4104, 0.8552], [0.4104, 0.8552, 0.4104], [0.4280, 0.8016, 0.8016], [0.5720, 0.1984, 0.1984], [0.5896, 0.1448, 0.5896], [0.5896, 0.5896, 0.1448], [0.8016, 0.4280, 0.8016], [0.8016, 0.8016, 0.4280], [0.8552, 0.4104, 0.4104]]}

No. 18
{"formula": "Sr2ScOsO6", "functional": "PBE", "state": "relaxed", "total_magnetization_mub_per_fu": 2.67, "e_form_raw_ev_per_fu": -24.8, "e_tot_ev_per_atom": -7.5460, "cell": [[0.0000, 4.0448, 4.0448], [4.0448, 0.0000, 4.0448], [4.0448, 4.0448, 0.0000]], "species": ["Sr", "Sr", "Sc", "Os", "O", "O", "O", "O", "O", "O"], "frac_coords": [[0.2500, 0.2500, 0.2500], [0.7500, 0.7500, 0.7500], [0.0000, 0.0000, 0.0000], [0.5000, 0.5000, 0.5000], [0.2566, 0.2566, 0.7434], [0.2566, 0.7434, 0.2566], [0.2566, 0.7434, 0.7434], [0.7434, 0.2566, 0.2566], [0.7434, 0.2566, 0.7434], [0.7434, 0.7434, 0.2566]]}

No. 19
{"formula": "SrSc2OsO8", "functional": "PBE", "state": "relaxed", "total_magnetization_mub_per_fu": 0.00, "e_form_raw_ev_per_fu": -27.0, "e_tot_ev_per_atom": -7.6838, "cell": [[4.9232, 0.0000, 0.0000], [0.0000, 6.7811, 0.0000], [-0.2751, 0.0000, 4.9237]], "species": ["Sr", "Sc", "Sc", "Os", "O", "O", "O", "O", "O", "O", "O", "O"], "frac_coords": [[0.0000, 0.0000, 0.0000], [0.5000, 0.2293, 0.5000], [0.5000, 0.7707, 0.5000], [0.0000, 0.5000, 0.0000], [0.1982, 0.3056, 0.1961], [0.1982, 0.6944, 0.1961], [0.2617, 0.5000, 0.7365], [0.3264, 0.0000, 0.6704], [0.6736, 0.0000, 0.3296], [0.7383, 0.5000, 0.2635], [0.8018, 0.3056, 0.8039], [0.8018, 0.6944, 0.8039]]}

No. 20
{"formula": "TbSc2OsO8", "functional": "PBE", "state": "relaxed", "total_magnetization_mub_per_fu": 1.04, "e_form_raw_ev_per_fu": -30.1, "e_tot_ev_per_atom": -8.1936, "cell": [[3.4278, -3.4605, 0.0000], [3.4278, 3.4605, 0.0000], [0.0000, 0.0000, 6.5429]], "species": ["Tb", "Sc", "Sc", "Os", "O", "O", "O", "O", "O", "O", "O", "O"], "frac_coords": [[0.0000, 0.0000, 0.0000], [0.5000, 0.5000, 0.2397], [0.5000, 0.5000, 0.7603], [0.0000, 0.0000, 0.5000], [0.1945, 0.1945, 0.2884], [0.1945, 0.1945, 0.7116], [0.2722, 0.7278, 0.5000], [0.3173, 0.6827, 0.0000], [0.6827, 0.3173, 0.0000], [0.7278, 0.2722, 0.5000], [0.8055, 0.8055, 0.2884], [0.8055, 0.8055, 0.7116]]}

No. 21
{"formula": "ScTiOsO6", "functional": "PBE", "state": "relaxed", "total_magnetization_mub_per_fu": 3.01, "e_form_raw_ev_per_fu": -20.7, "e_tot_ev_per_atom": -8.4336, "cell": [[5.0758, 0.0000, 0.0000], [-2.5379, 4.3957, 0.0000], [0.0000, 0.0000, 9.2972]], "species": ["Sc", "Sc", "Ti", "Ti", "Os", "Os", "O", "O", "O", "O", "O", "O", "O", "O", "O", "O", "O", "O"], "frac_coords": [[0.0000, 0.0000, 0.0000], [0.0000, 0.0000, 0.5000], [0.3333, 0.6667, 0.2500], [0.6667, 0.3333, 0.7500], [0.3333, 0.6667, 0.7500], [0.6667, 0.3333, 0.2500], [0.0001, 0.3453, 0.1341], [0.9999, 0.3452, 0.6341], [0.0001, 0.6548, 0.3659], [0.9999, 0.6547, 0.8659], [0.3452, 0.9999, 0.1341], [0.3453, 0.0001, 0.6341], [0.3452, 0.3453, 0.3659], [0.3453, 0.3452, 0.8659], [0.6547, 0.9999, 0.3659], [0.6548, 0.0001, 0.8659], [0.6547, 0.6548, 0.1341], [0.6548, 0.6547, 0.6341]]}

No. 22
{"formula": "ScTl2OsO8", "functional": "PBE", "state": "relaxed", "total_magnetization_mub_per_fu": 0.92, "e_form_raw_ev_per_fu": -15.1, "e_tot_ev_per_atom": -6.4239, "cell": [[3.4789, -3.6313, 0.0000], [3.4789, 3.6313, 0.0000], [0.0000, 0.0000, 6.5427]], "species": ["Sc", "Tl", "Tl", "Os", "O", "O", "O", "O", "O", "O", "O", "O"], "frac_coords": [[0.0000, 0.0000, 0.0000], [0.5000, 0.5000, 0.2472], [0.5000, 0.5000, 0.7528], [0.0000, 0.0000, 0.5000], [0.1735, 0.8265, 0.2803], [0.1735, 0.8265, 0.7197], [0.2742, 0.2742, 0.5000], [0.2897, 0.2897, 0.0000], [0.7103, 0.7103, 0.0000], [0.7258, 0.7258, 0.5000], [0.8265, 0.1735, 0.2803], [0.8265, 0.1735, 0.7197]]}